Record 1
{"formula": "NaCd3Pt2", "functional": "PBE-GGA", "state": "optimized geometry", "cell": [[5.755, -0.023, -0.025], [0.028, 6.706, 0.132], [0.028, -0.500, 6.688]], "species": ["Cd", "Cd", "Pt", "Na", "Pt", "Pt", "Cd", "Na", "Cd", "Cd", "Pt", "Cd"], "frac_coords": [[0.750, 0.438, 0.074], [0.750, 0.941, 0.941], [0.500, 0.764, 0.236], [0.750, 0.586, 0.586], [0.000, 0.764, 0.236], [0.500, 0.236, 0.764], [0.750, 0.074, 0.438], [0.250, 0.414, 0.414], [0.250, 0.926, 0.562], [0.250, 0.059, 0.059], [0.000, 0.236, 0.764], [0.250, 0.562, 0.926]], "de_polymorph_ev_per_atom": 0.0000, "space_group": "No. 63", "dft_energy_ha_per_atom": -0.11003}

Record 2
{"formula": "TbY2HoP4", "functional": "PBE-GGA", "state": "optimized geometry", "cell": [[4.012, 0.000, 0.000], [0.000, 6.945, 0.121], [0.000, -2.429, 6.508]], "species": ["P", "Y", "P", "P", "Tb", "Ho", "Y", "P"], "frac_coords": [[0.500, 0.751, 0.751], [0.000, 0.500, 0.500], [0.000, 0.751, 0.250], [0.500, 0.249, 0.249], [0.500, 0.500, 0.000], [0.000, 0.000, 0.000], [0.500, 0.000, 0.500], [0.000, 0.249, 0.750]], "space_group": "No. 10", "dft_energy_ha_per_atom": -0.26067}

Record 3
{"formula": "ReTc", "functional": "PBE-GGA", "state": "optimized geometry", "cell": [[-0.590, -0.999, -2.433], [5.156, -7.118, 1.671], [-1.721, -0.797, 1.915]], "species": ["Re", "Tc", "Tc", "Re"], "frac_coords": [[0.000, 0.001, 0.000], [0.000, 0.499, 0.000], [0.500, 0.251, 0.500], [0.500, 0.749, 0.500]], "de_polymorph_ev_per_atom": 0.2886, "space_group": "No. 67", "dft_energy_ha_per_atom": -0.40884}

Calculated D(E_F), 1.77; 0.91; 2.23 states/eV/f.u. (same order as the records).
Calculated theoretical density, 9.64; 5.69; 15.78 g/cm3 (same order as the records).
Calculated DFT formation energy, -0.30; -1.62; 0.28 eV/atom (same order as the records).